DFT (PBE) results for FeS after structural relaxation.

Calculated values
Total energy = -106.7 eV/cell
Calculated volume = 18.239 A^3/atom
Total magnetization = 0.0 μB per cell

Cell: 6.633 6.633 6.633 Å, 90.00 90.00 90.00°
Sites, in units of the cell vectors:
Fe1 0.865 0.865 0.865
Fe2 0.135 0.135 0.865
Fe3 0.135 0.865 0.135
S1 0.183 0.183 0.183
S2 0.317 0.317 0.683
S3 0.683 0.317 0.317
S4 0.317 0.683 0.317
Fe4 0.365 0.635 0.635
Fe5 0.635 0.365 0.635
Fe6 0.365 0.365 0.365
S5 0.183 0.817 0.817
S6 0.817 0.817 0.183
Fe7 0.635 0.635 0.365
S7 0.817 0.183 0.817
S8 0.683 0.683 0.683
Fe8 0.865 0.135 0.135